[1]
# TiVPCl2 (GGA-PBE, optimized geometry)
# Offset from the most stable computed form: 0.000 eV per formula unit
# Electronic total energy: -26.685 eV per formula unit
# D(E_F): 0.68 states/eV per atom
# Formation energy from raw total energies: -0.1136 eV/atom
# Total magnetic moment: 3.40 μB per formula unit
data_TiVPCl2
_chemical_formula_sum 'Ti1 V1 P1 Cl2'
_symmetry_space_group_name_H-M 'P 4/m m m'
_symmetry_Int_Tables_number 123
_symmetry_space_group_name_Hall '-P 4 2'
_cell_length_a 4.630
_cell_length_b 4.630
_cell_length_c 5.040
_cell_angle_alpha 90.00
_cell_angle_beta 90.00
_cell_angle_gamma 90.00
loop_
_atom_site_label
_atom_site_fract_x
_atom_site_fract_y
_atom_site_fract_z
Ti1 0.000 0.000 0.000
V1 0.500 0.500 0.500
P1 0.000 0.000 0.500
Cl1 0.000 0.500 0.000

[2]
# LiScPt (GGA-PBE, optimized geometry)
# Offset from the most stable computed form: 1.316 eV per formula unit
# Electronic total energy: -15.390 eV per formula unit
# D(E_F): 0.30 states/eV per atom
# Energy of formation: -0.3679 eV per atom
# Total magnetic moment: 0.00 μB per formula unit
data_LiScPt
_chemical_formula_sum 'Li4 Sc4 Pt4'
_symmetry_space_group_name_H-M 'F -4 3 m'
_symmetry_Int_Tables_number 216
_symmetry_space_group_name_Hall 'F -4 2 3'
_cell_length_a 6.200
_cell_length_b 6.200
_cell_length_c 6.200
_cell_angle_alpha 90.00
_cell_angle_beta 90.00
_cell_angle_gamma 90.00
loop_
_atom_site_label
_atom_site_fract_x
_atom_site_fract_y
_atom_site_fract_z
Li1 0.000 0.000 0.000
Sc1 0.250 0.250 0.750
Pt1 0.000 0.000 0.500

[3]
# LaY (GGA-PBE, optimized geometry)
# Offset from the most stable computed form: 0.075 eV per formula unit
# Electronic total energy: -11.308 eV per formula unit
# D(E_F): 1.72 states/eV per atom
# Energy of formation: 0.0418 eV per atom
# Total magnetic moment: 0.00 μB per formula unit
data_LaY
_chemical_formula_sum 'La1 Y1'
_symmetry_space_group_name_H-M 'P -6 m 2'
_symmetry_Int_Tables_number 187
_symmetry_space_group_name_Hall 'P -6 2'
_cell_length_a 3.6987
_cell_length_b 3.6987
_cell_length_c 5.8843
_cell_angle_alpha 90.00
_cell_angle_beta 90.00
_cell_angle_gamma 120.00
loop_
_atom_site_label
_atom_site_fract_x
_atom_site_fract_y
_atom_site_fract_z
La1 0.0000 0.0000 0.0000
Y1 0.3333 0.6667 0.5000

[4]
# BaUI2F6 (GGA-PBE, optimized geometry)
# Electronic total energy: -56.133 eV per formula unit
# D(E_F): 1.37 states/eV per atom
# Formation energy from raw total energies: -2.8594 eV/atom
# Total magnetic moment: 1.83 μB per formula unit
data_BaUI2F6
_chemical_formula_sum 'Ba2 U2 I4 F12'
_symmetry_space_group_name_H-M 'C 1 2/m 1'
_symmetry_Int_Tables_number 12
_cell_length_a 9.829
_cell_length_b 9.836
_cell_length_c 6.947
_cell_angle_alpha 90.00
_cell_angle_beta 134.92
_cell_angle_gamma 90.00
loop_
_symmetry_equiv_pos_as_xyz
'x,y,z'
'-x,-y,-z'
'-x,y,-z'
'x,-y,z'
'x+1/2,y+1/2,z'
'-x+1/2,-y+1/2,-z'
'-x+1/2,y+1/2,-z'
'x+1/2,-y+1/2,z'
loop_
_atom_site_label
_atom_site_fract_x
_atom_site_fract_y
_atom_site_fract_z
Ba1 0.000 0.000 0.000
U1 0.000 0.500 0.000
I1 0.000 0.250 0.500
F1 0.000 0.287 0.000
F2 0.213 0.500 0.000
F3 0.213 0.500 0.426